{"formula": "CeCo4Ge", "functional": "GGA-PBE", "state": "optimized geometry", "cell": [[4.514, 0.000, 0.000], [0.000, 4.514, 0.000], [-2.257, -2.257, 9.737]], "species": ["Ce", "Ce", "Co", "Co", "Co", "Co", "Co", "Co", "Co", "Co", "Ge", "Ge"], "frac_coords": [[0.000, 0.000, 0.000], [0.750, 0.250, 0.500], [0.605, 0.351, 0.210], [0.609, 0.855, 0.710], [0.101, 0.855, 0.710], [0.605, 0.859, 0.210], [0.145, 0.391, 0.290], [0.649, 0.395, 0.790], [0.141, 0.395, 0.790], [0.145, 0.899, 0.290], [0.500, 0.500, 0.000], [0.250, 0.750, 0.500]], "e_above_lowest_polymorph_kj_per_mol_atoms": 20.44, "dos_ef_per_ev_fu": 9.15, "formation_enthalpy_0k_mev_per_atom": 96, "spacegroup": "I4_1/amd, No. 141", "rho_kg_m3": 7506}